[1]
Compound: Tb3Ir
Source: the Alexandria database
Functional: PBE
Structure: optimized geometry

Properties
DFT formation energy = -0.45 eV/atom
Calculated density = 10551 kg/m3
Calculated total energy = -6.141 eV per atom

a = 3.6513 Å, b = 5.2537 Å, c = 10.9772 Å
α = 90.00°, β = 90.00°, γ = 90.00°
Atoms (fractional coordinates):
Tb (0.0000, 0.0000, 0.0000)
Tb (0.0000, 0.5000, 0.1969)
Tb (0.0000, 0.5000, 0.8031)
Tb (0.5000, 0.0000, 0.3031)
Tb (0.5000, 0.0000, 0.6969)
Tb (0.5000, 0.5000, 0.5000)
Ir (0.0000, 0.0000, 0.5000)
Ir (0.5000, 0.5000, 0.0000)

[2]
Compound: Tb4Ir
Source: the Alexandria database
Functional: PBE
Structure: optimized geometry

Properties
Polymorph energy (0 for the lowest one) = 158.0 meV/atom
DFT formation energy = -0.23 eV/atom
Calculated density = 8472 kg/m3
Calculated total energy = -5.711 eV per atom

a = 5.4544 Å, b = 5.4544 Å, c = 5.4544 Å
α = 90.00°, β = 90.00°, γ = 90.00°
Atoms (fractional coordinates):
Tb (0.0000, 0.0000, 0.0000)
Tb (0.0000, 0.5000, 0.5000)
Tb (0.5000, 0.0000, 0.5000)
Tb (0.5000, 0.5000, 0.0000)
Ir (0.5000, 0.5000, 0.5000)

[3]
Compound: Tb4Ir
Source: the Alexandria database
Functional: PBE
Structure: optimized geometry

Properties
Polymorph energy (0 for the lowest one) = 498.6 meV/atom
DFT formation energy = 0.11 eV/atom
Calculated density = 8506 kg/m3
Calculated total energy = -5.370 eV per atom

a = 7.7035 Å, b = 7.7035 Å, c = 7.7035 Å
α = 60.00°, β = 60.00°, γ = 60.00°
Atoms (fractional coordinates):
Tb (0.2099, 0.7634, 0.7634)
Tb (0.2366, 0.2366, 0.2366)
Tb (0.2366, 0.2366, 0.7901)
Tb (0.2366, 0.7901, 0.2366)
Tb (0.7634, 0.2099, 0.7634)
Tb (0.7634, 0.7634, 0.2099)
Tb (0.7634, 0.7634, 0.7634)
Tb (0.7901, 0.2366, 0.2366)
Ir (0.3750, 0.3750, 0.3750)
Ir (0.6250, 0.6250, 0.6250)

[4]
Compound: Tb6Ir5
Source: the Alexandria database
Functional: PBE
Structure: optimized geometry

Properties
DFT formation energy = -0.77 eV/atom
Calculated density = 13115 kg/m3
Calculated total energy = -7.322 eV per atom

a = 8.4383 Å, b = 8.4383 Å, c = 8.4383 Å
α = 146.41°, β = 132.63°, γ = 59.32°
Atoms (fractional coordinates):
Tb (0.0825, 0.8341, 0.2484)
Tb (0.2487, 0.5000, 0.7487)
Tb (0.4142, 0.1659, 0.2484)
Tb (0.5858, 0.8341, 0.7516)
Tb (0.7513, 0.5000, 0.2513)
Tb (0.9175, 0.1659, 0.7516)
Ir (0.1682, 0.6682, 0.5000)
Ir (0.3340, 0.3340, 0.0000)
Ir (0.5000, 0.0000, 0.5000)
Ir (0.6660, 0.6660, 0.0000)
Ir (0.8318, 0.3318, 0.5000)

[5]
Compound: Tb3Ir
Source: the Alexandria database
Functional: PBE
Structure: optimized geometry

Properties
DFT formation energy = -0.56 eV/atom
Calculated density = 10203 kg/m3
Calculated total energy = -6.251 eV per atom

a = 7.2456 Å, b = 9.4036 Å, c = 6.3922 Å
α = 90.00°, β = 90.00°, γ = 90.00°
Atoms (fractional coordinates):
Tb (0.0348, 0.2500, 0.1352)
Tb (0.1768, 0.0636, 0.6731)
Tb (0.1768, 0.4364, 0.6731)
Tb (0.3232, 0.5636, 0.1731)
Tb (0.3232, 0.9364, 0.1731)
Tb (0.4652, 0.7500, 0.6352)
Tb (0.5348, 0.2500, 0.3648)
Tb (0.6768, 0.0636, 0.8269)
Tb (0.6768, 0.4364, 0.8269)
Tb (0.8232, 0.5636, 0.3269)
Tb (0.8232, 0.9364, 0.3269)
Tb (0.9652, 0.7500, 0.8648)
Ir (0.1176, 0.7500, 0.4497)
Ir (0.3824, 0.2500, 0.9497)
Ir (0.6176, 0.7500, 0.0503)
Ir (0.8824, 0.2500, 0.5503)

[6]
Compound: Tb3Ir
Source: the Alexandria database
Functional: PBE
Structure: optimized geometry

Properties
DFT formation energy = -0.50 eV/atom
Calculated density = 10414 kg/m3
Calculated total energy = -6.188 eV per atom

a = 11.6061 Å, b = 11.6061 Å, c = 6.3356 Å
α = 90.00°, β = 90.00°, γ = 90.00°
Atoms (fractional coordinates):
Tb (0.0344, 0.9061, 0.2008)
Tb (0.0939, 0.5344, 0.7008)
Tb (0.1137, 0.8340, 0.6934)
Tb (0.1172, 0.3071, 0.0247)
Tb (0.1660, 0.6137, 0.1934)
Tb (0.1929, 0.1172, 0.4753)
Tb (0.3071, 0.3828, 0.4753)
Tb (0.3340, 0.8863, 0.1934)
Tb (0.3828, 0.1929, 0.0247)
Tb (0.3863, 0.6660, 0.6934)
Tb (0.4061, 0.9656, 0.7008)
Tb (0.4656, 0.5939, 0.2008)
Tb (0.5344, 0.4061, 0.7992)
Tb (0.5939, 0.0344, 0.2992)
Tb (0.6137, 0.3340, 0.3066)
Tb (0.6172, 0.8071, 0.9753)
Tb (0.6660, 0.1137, 0.8066)
Tb (0.6929, 0.6172, 0.5247)
Tb (0.8071, 0.8828, 0.5247)
Tb (0.8340, 0.3863, 0.8066)
Tb (0.8828, 0.6929, 0.9753)
Tb (0.8863, 0.1660, 0.3066)
Tb (0.9061, 0.4656, 0.2992)
Tb (0.9656, 0.0939, 0.7992)
Ir (0.0558, 0.3162, 0.5084)
Ir (0.1838, 0.0558, 0.9916)
Ir (0.3162, 0.4442, 0.9916)
Ir (0.4442, 0.1838, 0.5084)
Ir (0.5558, 0.8162, 0.4916)
Ir (0.6838, 0.5558, 0.0084)
Ir (0.8162, 0.9442, 0.0084)
Ir (0.9442, 0.6838, 0.4916)

[7]
Compound: Tb3Ir2
Source: the Alexandria database
Functional: PBE
Structure: optimized geometry

Properties
Polymorph energy (0 for the lowest one) = 168.1 meV/atom
DFT formation energy = -0.61 eV/atom
Calculated density = 11359 kg/m3
Calculated total energy = -6.931 eV per atom

a = 7.2244 Å, b = 7.2244 Å, c = 7.2244 Å
α = 114.76°, β = 86.84°, γ = 129.52°
Atoms (fractional coordinates):
Tb (0.1616, 0.6339, 0.7955)
Tb (0.2500, 0.2500, 0.0000)
Tb (0.3384, 0.1339, 0.4722)
Tb (0.6616, 0.8661, 0.5278)
Tb (0.7500, 0.7500, 0.0000)
Tb (0.8384, 0.3661, 0.2045)
Ir (0.0963, 0.2734, 0.3697)
Ir (0.4037, 0.7734, 0.1772)
Ir (0.5963, 0.2266, 0.8228)
Ir (0.9037, 0.7266, 0.6303)

[8]
Compound: Tb3Ir
Source: the Alexandria database
Functional: PBE
Structure: optimized geometry

Properties
DFT formation energy = -0.17 eV/atom
Calculated density = 9545 kg/m3
Calculated total energy = -5.855 eV per atom

a = 3.4234 Å, b = 3.6760 Å, c = 9.2488 Å
α = 90.00°, β = 90.00°, γ = 90.00°
Atoms (fractional coordinates):
Tb (0.0000, 0.0000, 0.0000)
Tb (0.0000, 0.5000, 0.3430)
Tb (0.5000, 0.5000, 0.7147)
Ir (0.5000, 0.0000, 0.4893)

> Look up the calculated density of the fourth one.

13115 kg/m3